# PBE ErHgS2, relaxed
# Formation energy without anion corrections ... -1118 meV/atom
# Offset from the most stable computed form ... 0 meV/atom
data_ErHgS2
_cell_length_a 3.991
_cell_length_b 3.991
_cell_length_c 7.406
_cell_angle_alpha 74.37
_cell_angle_beta 74.37
_cell_angle_gamma 60.00
_space_group_name_H-M_alt 'P 1'
_space_group_IT_number 1
loop_
_space_group_symop_operation_xyz
'x,y,z'
loop_
_atom_site_label
_atom_site_fract_x
_atom_site_fract_y
_atom_site_fract_z
_atom_site_occupancy
Er1 0.666 0.666 0.003 1
Hg1 0.500 0.500 0.501 1
S1 0.070 0.070 0.791 1
S2 0.265 0.265 0.204 1

---

# PBE Ti3PtC, relaxed
# Formation energy ... -0.100 eV/atom
# Offset from the most stable computed form ... 725 meV/atom
data_Ti3PtC
_cell_length_a 5.596
_cell_length_b 5.596
_cell_length_c 4.901
_cell_angle_alpha 90.00
_cell_angle_beta 90.00
_cell_angle_gamma 111.19
_space_group_name_H-M_alt 'P 1'
_space_group_IT_number 1
loop_
_space_group_symop_operation_xyz
'x,y,z'
loop_
_atom_site_label
_atom_site_fract_x
_atom_site_fract_y
_atom_site_fract_z
_atom_site_occupancy
C1 0.195 0.805 0.250 1
C2 0.805 0.195 0.750 1
Pt1 0.422 0.578 0.250 1
Pt2 0.578 0.422 0.750 1
Ti1 0.514 0.125 0.250 1
Ti2 0.875 0.486 0.250 1
Ti3 0.125 0.514 0.750 1
Ti4 0.486 0.875 0.750 1
Ti5 0.000 0.000 0.000 1
Ti6 0.000 0.000 0.500 1

---

| no. | total magnetization (μB/f.u.) |
| --- | --- |
| 1 | 0.0 |
| 2 | 0.0 |